{
  "formula": "YHg3C",
  "functional": "PBE",
  "state": "optimized geometry",
  "total_energy_ev_per_cell": -12.72,
  "magmom_total_mub_per_fu": 0.00,
  "lattice_angstrom": [[-0.9275, -3.7945, -2.7776], [3.4331, -2.4811, 2.2430], [-3.2135, -1.5555, 3.1980]],
  "species": ["Y", "C", "Hg", "Hg", "Hg"],
  "fractional_positions": [[0.5000, 0.5000, 0.5000], [0.0000, 0.0000, 0.0000], [0.0000, 0.5000, 0.0000], [0.0000, 0.0000, 0.5000], [0.5000, 0.0000, 0.0000]]
}